First-principles (PBE) data for YTi2Tl3Te6 after structural relaxation, as listed in Alexandria via LeMat-Bulk.

Values from the calculation:
**Energy relative to the elements, uncorrected**: -0.678 eV/atom
**Theoretical density**: 6.93 g cm⁻³
**Total magnetization**: 2.02 μB/cell
**DFT total energy**: -4.695 eV/atom

```
YTi2Tl3Te6
1.0
3.6324 -6.3193 0.0000
3.6324 6.3193 0.0000
-2.4332 0.0000 8.1650
Y Ti Tl Te
1 2 3 6
direct
0.0000 0.0000 0.0000
0.3256 0.6744 0.0000
0.6744 0.3256 0.0000
0.1538 0.8462 0.5000
0.5000 0.5000 0.5000
0.8462 0.1538 0.5000
0.0700 0.4238 0.2072
0.2950 0.2950 0.8081
0.4238 0.0700 0.2072
0.5762 0.9300 0.7928
0.7050 0.7050 0.1919
0.9300 0.5762 0.7928
```